VASP calculation (PBE) on a geometry-optimized Ca2Os4Se structure.

As for the calculated volume: 306 Å³/cell. For the density of states at the Fermi level, the calculation gives 0.7962 states/eV/atom. For the uncorrected formation energy, the calculation gives 1406 meV/atom.

The structure belongs to space group I4/mmm (No. 139); the cell edges are 4.564, 4.564 and 14.711 Å and the angles 90.00°, 90.00° and 90.00°. The asymmetric unit holds Ca at (0.000, 0.000, 0.143), Os at (0.000, 0.000, 0.345), Os at (0.000, 0.500, 0.000) and Se at (0.000, 0.000, 0.500).

***

VASP calculation (PBE) on a geometry-optimized CdGaSe2Br structure.

As for the calculated volume: 157 Å³/cell. As for the energy above the most stable polymorph in this dataset: 0.0951 eV/atom. For the density of states at the Fermi level, the calculation gives 1.3858 states/eV/atom. For the uncorrected formation energy, the calculation gives 106 meV/atom.

The structure belongs to space group P4/mmm (No. 123); the cell edges are 5.225, 5.225 and 5.762 Å and the angles 90.00°, 90.00° and 90.00°. The asymmetric unit holds Cd at (0.000, 0.000, 0.000), Ga at (0.500, 0.500, 0.500), Se at (0.000, 0.500, 0.000) and Br at (0.000, 0.000, 0.500).

***

VASP calculation (PBE) on a geometry-optimized AlInFe structure.

The calculation puts the formation energy at -0.004 eV/atom. As for the calculated volume: 316 Å³/cell. For the density of states at the Fermi level, the calculation gives 0.9748 states/eV/atom.

The structure belongs to space group R3m (No. 160, hexagonal axes); the cell edges are 4.1766, 4.1766 and 20.9021 Å and the angles 90.00°, 90.00° and 120.00°. The asymmetric unit holds Al at (0.0000, 0.0000, 0.0000), Al at (0.0000, 0.0000, 0.2597), In at (0.0000, 0.0000, 0.4929), In at (0.0000, 0.0000, 0.7453), Fe at (0.0000, 0.0000, 0.6184) and Fe at (0.0000, 0.0000, 0.8860).

***

VASP calculation (PBE) on a geometry-optimized Dy2BeC2 structure.

The calculation puts the formation energy at -0.205 eV/atom. As for the calculated volume: 307 Å³/cell. For the density of states at the Fermi level, the calculation gives 0.0709 states/eV/atom.

The structure belongs to space group Pnma (No. 62); the cell edges are 7.031, 5.098 and 8.574 Å and the angles 90.00°, 90.00° and 90.00°. The asymmetric unit holds Dy at (0.021, 0.250, 0.157), Dy at (0.138, 0.250, 0.594), Be at (0.233, 0.250, 0.906), C at (0.003, 0.750, 0.151) and C at (0.146, 0.750, 0.580).

***

VASP calculation (PBE) on a geometry-optimized Na3CuAs structure.

The calculation puts the formation energy at 0.240 eV/atom. As for the calculated volume: 167 Å³/cell. As for the energy above the most stable polymorph in this dataset: 0.3717 eV/atom. For the density of states at the Fermi level, the calculation gives 0.6928 states/eV/atom.

The structure belongs to space group Pm-3m (No. 221); the cell edges are 5.507, 5.507 and 5.507 Å and the angles 90.00°, 90.00° and 90.00°. The asymmetric unit holds Na at (0.000, 0.000, 0.500), Cu at (0.500, 0.500, 0.500) and As at (0.000, 0.000, 0.000).

***

VASP calculation (PBE) on a geometry-optimized KNaPdPb2 structure.

The calculation puts the formation energy at -0.115 eV/atom. As for the calculated volume: 164 Å³/cell. For the density of states at the Fermi level, the calculation gives 0.7063 states/eV/atom.

The structure belongs to space group P4/mmm (No. 123); the cell edges are 5.396, 5.396 and 5.629 Å and the angles 90.00°, 90.00° and 90.00°. The asymmetric unit holds K at (0.000, 0.000, 0.000), Na at (0.500, 0.500, 0.000), Pd at (0.500, 0.500, 0.500) and Pb at (0.000, 0.500, 0.500).

***

VASP calculation (PBE) on a geometry-optimized SrTlAs3 structure.

The calculation puts the formation energy at 0.308 eV/atom. As for the calculated volume: 155 Å³/cell. As for the energy above the most stable polymorph in this dataset: 0.0000 eV/atom. For the density of states at the Fermi level, the calculation gives 1.1299 states/eV/atom.

The structure belongs to space group Pm-3m (No. 221); the cell edges are 5.369, 5.369 and 5.369 Å and the angles 90.00°, 90.00° and 90.00°. The asymmetric unit holds Sr at (0.000, 0.000, 0.000), Tl at (0.500, 0.500, 0.500) and As at (0.000, 0.500, 0.500).

***

VASP calculation (PBE) on a geometry-optimized BPbI2N structure.

As for the calculated volume: 127 Å³/cell. As for the energy above the most stable polymorph in this dataset: 0.0000 eV/atom. For the density of states at the Fermi level, the calculation gives 0.1511 states/eV/atom. For the uncorrected formation energy, the calculation gives 103 meV/atom.

The structure belongs to space group P4/mmm (No. 123); the cell edges are 6.672, 6.672 and 2.848 Å and the angles 90.00°, 90.00° and 90.00°. The asymmetric unit holds B at (0.000, 0.000, 0.000), Pb at (0.500, 0.500, 0.500), I at (0.000, 0.500, 0.000) and N at (0.000, 0.000, 0.500).

***

no.,raw total energy (eV per cell)
1,-85.123
2,-12.054
3,-89.742
4,-129.611
5,-11.505
6,-15.600
7,-16.458
8,-21.296